# 1
Below is an optimized crystal structure of CsCuSbTe, with properties calculated at the GGA-PBE level.

SG   P4/nmm, No. 129
Density of states at the Fermi level   2.69 states/eV/f.u.
M_tot   0.0 Bohr magnetons per cell
Uncorrected formation energy   -0.357 eV per atom
Crystal system   tetragonal

Unit cell a=4.307 b=4.307 c=14.675 alpha=90.00 beta=90.00 gamma=90.00
Atoms (fractional coordinates):
Cs: 0.250 0.250 0.237
Cs: 0.750 0.750 0.763
Cu: 0.250 0.750 0.500
Cu: 0.750 0.250 0.500
Sb: 0.250 0.750 0.000
Sb: 0.750 0.250 0.000
Te: 0.250 0.250 0.606
Te: 0.750 0.750 0.394

***

# 2
Below is an optimized crystal structure of CsCuSbTe2, with properties calculated at the GGA-PBE level.

SG   P2/c, No. 13
Density of states at the Fermi level   2.26 states/eV/f.u.
Distance to the lowest polymorph of the same formula   0 meV/atom
M_tot   0.0 Bohr magnetons per cell
Uncorrected formation energy   -0.282 eV per atom
Crystal system   monoclinic

Unit cell a=8.779 b=5.798 c=8.176 alpha=90.00 beta=110.79 gamma=90.00
Atoms (fractional coordinates):
Cs: 0.000 0.215 0.250
Cs: 0.000 0.785 0.750
Cu: 0.500 0.000 0.000
Cu: 0.500 0.000 0.500
Sb: 0.500 0.332 0.750
Sb: 0.500 0.668 0.250
Te: 0.289 0.294 0.983
Te: 0.289 0.706 0.483
Te: 0.711 0.294 0.517
Te: 0.711 0.706 0.017

***

# 3
Below is an optimized crystal structure of CsCuSbTe2, with properties calculated at the GGA-PBE level.

SG   P4/mmm, No. 123
Density of states at the Fermi level   3.27 states/eV/f.u.
Distance to the lowest polymorph of the same formula   228 meV/atom
M_tot   0.0 Bohr magnetons per cell
Uncorrected formation energy   -0.055 eV per atom
Crystal system   tetragonal

Unit cell a=5.598 b=5.598 c=5.100 alpha=90.00 beta=90.00 gamma=90.00
Atoms (fractional coordinates):
Cs: 0.000 0.000 0.000
Cu: 0.500 0.500 0.500
Sb: 0.500 0.500 0.000
Te: 0.000 0.500 0.500
Te: 0.500 0.000 0.500

***

# 4
Below is an optimized crystal structure of CsCuSbTe2, with properties calculated at the GGA-PBE level.

SG   P4/mmm, No. 123
Density of states at the Fermi level   7.66 states/eV/f.u.
Distance to the lowest polymorph of the same formula   1816 meV/atom
M_tot   2.3 Bohr magnetons per cell
Uncorrected formation energy   1.534 eV per atom
Crystal system   tetragonal

Unit cell a=6.586 b=6.586 c=6.472 alpha=90.00 beta=90.00 gamma=90.00
Atoms (fractional coordinates):
Cs: 0.000 0.000 0.000
Cu: 0.500 0.500 0.500
Sb: 0.000 0.000 0.500
Te: 0.000 0.500 0.000
Te: 0.500 0.000 0.000

***

# 5
Below is an optimized crystal structure of CsCuSb2Te, with properties calculated at the GGA-PBE level.

SG   P4/mmm, No. 123
Density of states at the Fermi level   3.50 states/eV/f.u.
Distance to the lowest polymorph of the same formula   0 meV/atom
M_tot   0.0 Bohr magnetons per cell
Uncorrected formation energy   0.061 eV per atom
Crystal system   tetragonal

Unit cell a=5.272 b=5.272 c=5.670 alpha=90.00 beta=90.00 gamma=90.00
Atoms (fractional coordinates):
Cs: 0.000 0.000 0.000
Cu: 0.500 0.500 0.500
Sb: 0.000 0.500 0.500
Sb: 0.500 0.000 0.500
Te: 0.500 0.500 0.000

***

# 6
Below is an optimized crystal structure of CsCuSb2Te, with properties calculated at the GGA-PBE level.

SG   P4/mmm, No. 123
Density of states at the Fermi level   6.80 states/eV/f.u.
Distance to the lowest polymorph of the same formula   1644 meV/atom
M_tot   0.7 Bohr magnetons per cell
Uncorrected formation energy   1.705 eV per atom
Crystal system   tetragonal

Unit cell a=6.299 b=6.299 c=6.433 alpha=90.00 beta=90.00 gamma=90.00
Atoms (fractional coordinates):
Cs: 0.000 0.000 0.000
Cu: 0.500 0.500 0.500
Sb: 0.000 0.500 0.000
Sb: 0.500 0.000 0.000
Te: 0.000 0.000 0.500

***

# 7
Below is an optimized crystal structure of CsSc2Cu, with properties calculated at the GGA-PBE level.

SG   R-3m, No. 166
Density of states at the Fermi level   5.75 states/eV/f.u.
Distance to the lowest polymorph of the same formula   0 meV/atom
M_tot   0.0 Bohr magnetons per cell
Formation energy   406 meV per atom
Crystal system   trigonal

Unit cell a=10.715 b=10.715 c=10.715 alpha=19.50 beta=19.50 gamma=19.50
Atoms (fractional coordinates):
Cs: 0.000 0.000 0.000
Sc: 0.115 0.115 0.115
Sc: 0.885 0.885 0.885
Cu: 0.500 0.500 0.500

***

# 8
Below is an optimized crystal structure of CsScCu2, with properties calculated at the GGA-PBE level.

SG   Fm-3m, No. 225
Density of states at the Fermi level   5.40 states/eV/f.u.
Distance to the lowest polymorph of the same formula   95 meV/atom
M_tot   0.0 Bohr magnetons per cell
Formation energy   781 meV per atom
Crystal system   cubic

Unit cell a=5.206 b=5.206 c=5.206 alpha=60.00 beta=60.00 gamma=60.00
Atoms (fractional coordinates):
Cs: 0.000 0.000 0.000
Sc: 0.500 0.500 0.500
Cu: 0.250 0.250 0.250
Cu: 0.750 0.750 0.750

***

# 9
Below is an optimized crystal structure of CsSc2Cu, with properties calculated at the GGA-PBE level.

SG   I4_1/amd, No. 141
Density of states at the Fermi level   6.55 states/eV/f.u.
Distance to the lowest polymorph of the same formula   352 meV/atom
M_tot   0.0 Bohr magnetons per cell
Formation energy   757 meV per atom
Crystal system   tetragonal

Unit cell a=8.004 b=8.004 c=8.004 alpha=120.46 beta=120.46 gamma=89.20
Atoms (fractional coordinates):
Cs: 0.375 0.625 0.750
Cs: 0.625 0.375 0.250
Sc: 0.000 0.000 0.000
Sc: 0.000 0.000 0.500
Sc: 0.000 0.500 0.000
Sc: 0.500 0.000 0.500
Cu: 0.125 0.875 0.250
Cu: 0.875 0.125 0.750

***

# 10
Below is an optimized crystal structure of CsScCu2, with properties calculated at the GGA-PBE level.

SG   I-42d, No. 122
Density of states at the Fermi level   4.40 states/eV/f.u.
Distance to the lowest polymorph of the same formula   0 meV/atom
M_tot   0.0 Bohr magnetons per cell
Formation energy   686 meV per atom
Crystal system   tetragonal

Unit cell a=6.818 b=6.818 c=6.818 alpha=108.27 beta=108.27 gamma=111.91
Atoms (fractional coordinates):
Cs: 0.000 0.000 0.000
Cs: 0.750 0.250 0.500
Sc: 0.250 0.750 0.500
Sc: 0.500 0.500 0.000
Cu: 0.199 0.625 0.074
Cu: 0.375 0.449 0.574
Cu: 0.551 0.125 0.926
Cu: 0.875 0.801 0.426

***

# 11
Below is an optimized crystal structure of CsSc3Cu, with properties calculated at the GGA-PBE level.

SG   Pm-3m, No. 221
Density of states at the Fermi level   4.27 states/eV/f.u.
Distance to the lowest polymorph of the same formula   1158 meV/atom
M_tot   0.0 Bohr magnetons per cell
Formation energy   1641 meV per atom
Crystal system   cubic

Unit cell a=5.226 b=5.226 c=5.226 alpha=90.00 beta=90.00 gamma=90.00
Atoms (fractional coordinates):
Cs: 0.000 0.000 0.000
Sc: 0.000 0.000 0.500
Sc: 0.000 0.500 0.000
Sc: 0.500 0.000 0.000
Cu: 0.500 0.500 0.500

***

# 12
Below is an optimized crystal structure of CsSc2Cu, with properties calculated at the GGA-PBE level.

SG   Fm-3m, No. 225
Density of states at the Fermi level   2.23 states/eV/f.u.
Distance to the lowest polymorph of the same formula   338 meV/atom
M_tot   0.0 Bohr magnetons per cell
Formation energy   743 meV per atom
Crystal system   cubic

Unit cell a=5.130 b=5.130 c=5.130 alpha=60.00 beta=60.00 gamma=60.00
Atoms (fractional coordinates):
Cs: 0.000 0.000 0.000
Sc: 0.250 0.250 0.250
Sc: 0.750 0.750 0.750
Cu: 0.500 0.500 0.500

***

# 13
Below is an optimized crystal structure of Cs3ScCu, with properties calculated at the GGA-PBE level.

SG   Pm-3m, No. 221
Density of states at the Fermi level   5.96 states/eV/f.u.
Distance to the lowest polymorph of the same formula   0 meV/atom
M_tot   2.7 Bohr magnetons per cell
Formation energy   744 meV per atom
Crystal system   cubic

Unit cell a=6.926 b=6.926 c=6.926 alpha=90.00 beta=90.00 gamma=90.00
Atoms (fractional coordinates):
Cs: 0.000 0.000 0.500
Cs: 0.000 0.500 0.000
Cs: 0.500 0.000 0.000
Sc: 0.500 0.500 0.500
Cu: 0.000 0.000 0.000

***

# 14
Below is an optimized crystal structure of CsSc3Cu, with properties calculated at the GGA-PBE level.

SG   Pm-3m, No. 221
Density of states at the Fermi level   4.09 states/eV/f.u.
Distance to the lowest polymorph of the same formula   0 meV/atom
M_tot   0.0 Bohr magnetons per cell
Formation energy   483 meV per atom
Crystal system   cubic

Unit cell a=5.258 b=5.258 c=5.258 alpha=90.00 beta=90.00 gamma=90.00
Atoms (fractional coordinates):
Cs: 0.000 0.000 0.000
Sc: 0.000 0.500 0.500
Sc: 0.500 0.000 0.500
Sc: 0.500 0.500 0.000
Cu: 0.500 0.500 0.500

***

# 15
Below is an optimized crystal structure of CsSc2CuSe4, with properties calculated at the GGA-PBE level.

SG   Cmcm, No. 63
M_tot   0.0 Bohr magnetons per cell
Uncorrected formation energy   -1.318 eV per atom
Crystal system   orthorhombic

Unit cell a=7.480 b=7.480 c=14.042 alpha=90.00 beta=90.00 gamma=148.94
Atoms (fractional coordinates):
Cs: 0.115 0.885 0.750
Cs: 0.885 0.115 0.250
Sc: 0.371 0.629 0.567
Sc: 0.371 0.629 0.933
Sc: 0.629 0.371 0.067
Sc: 0.629 0.371 0.433
Cu: 0.167 0.833 0.250
Cu: 0.833 0.167 0.750
Se: 0.000 0.000 0.000
Se: 0.000 0.000 0.500
Se: 0.249 0.751 0.099
Se: 0.249 0.751 0.401
Se: 0.427 0.573 0.750
Se: 0.573 0.427 0.250
Se: 0.751 0.249 0.599
Se: 0.751 0.249 0.901

***

# 16
Below is an optimized crystal structure of CsScCuSn2, with properties calculated at the GGA-PBE level.

SG   P4/mmm, No. 123
Density of states at the Fermi level   5.82 states/eV/f.u.
M_tot   0.0 Bohr magnetons per cell
Formation energy   278 meV per atom
Crystal system   tetragonal

Unit cell a=5.686 b=5.686 c=5.436 alpha=90.00 beta=90.00 gamma=90.00
Atoms (fractional coordinates):
Cs: 0.000 0.000 0.000
Sc: 0.500 0.500 0.500
Cu: 0.500 0.500 0.000
Sn: 0.000 0.500 0.500
Sn: 0.500 0.000 0.500

***

# 17
Below is an optimized crystal structure of CsSc3Cu2Te6, with properties calculated at the GGA-PBE level.

SG   C2/m, No. 12
Density of states at the Fermi level   0.47 states/eV/f.u.
M_tot   0.0 Bohr magnetons per cell
Uncorrected formation energy   -0.982 eV per atom
Crystal system   monoclinic

Unit cell a=9.212 b=9.212 c=10.395 alpha=112.54 beta=112.54 gamma=26.31
Atoms (fractional coordinates):
Cs: 0.000 0.000 0.000
Sc: 0.000 0.000 0.500
Sc: 0.289 0.289 0.366
Sc: 0.711 0.711 0.634
Cu: 0.276 0.276 0.085
Cu: 0.724 0.724 0.915
Te: 0.141 0.141 0.424
Te: 0.297 0.297 0.850
Te: 0.428 0.428 0.288
Te: 0.572 0.572 0.712
Te: 0.703 0.703 0.150
Te: 0.859 0.859 0.576

***

# 18
Below is an optimized crystal structure of CsScCu2Te4, with properties calculated at the GGA-PBE level.

SG   I222, No. 23
Density of states at the Fermi level   5.16 states/eV/f.u.
M_tot   0.0 Bohr magnetons per cell
Uncorrected formation energy   -0.395 eV per atom
Crystal system   orthorhombic

Unit cell a=7.727 b=7.727 c=7.727 alpha=131.72 beta=103.93 gamma=95.38
Atoms (fractional coordinates):
Cs: 0.000 0.000 0.000
Sc: 0.500 0.000 0.500
Cu: 0.375 0.500 0.875
Cu: 0.625 0.500 0.125
Te: 0.178 0.070 0.609
Te: 0.462 0.569 0.391
Te: 0.538 0.930 0.107
Te: 0.822 0.431 0.893

***

# 19
Below is an optimized crystal structure of CsYSc2Cu, with properties calculated at the GGA-PBE level.

SG   P4/mmm, No. 123
Density of states at the Fermi level   3.72 states/eV/f.u.
M_tot   0.0 Bohr magnetons per cell
Formation energy   1605 meV per atom
Crystal system   tetragonal

Unit cell a=5.223 b=5.223 c=5.592 alpha=90.00 beta=90.00 gamma=90.00
Atoms (fractional coordinates):
Cs: 0.000 0.000 0.000
Y: 0.000 0.000 0.500
Sc: 0.000 0.500 0.000
Sc: 0.500 0.000 0.000
Cu: 0.500 0.500 0.500

***

# 20
Below is an optimized crystal structure of Cs2CuSe, with properties calculated at the GGA-PBE level.

SG   Fm-3m, No. 225
Density of states at the Fermi level   2.78 states/eV/f.u.
M_tot   0.0 Bohr magnetons per cell
Uncorrected formation energy   -0.132 eV per atom
Crystal system   cubic

Unit cell a=6.056 b=6.056 c=6.056 alpha=60.00 beta=60.00 gamma=60.00
Atoms (fractional coordinates):
Cs: 0.250 0.250 0.250
Cs: 0.750 0.750 0.750
Cu: 0.000 0.000 0.000
Se: 0.500 0.500 0.500

***

# 21
Below is an optimized crystal structure of Cs2Cu5Se4, with properties calculated at the GGA-PBE level.

SG   Cmcm, No. 63
Density of states at the Fermi level   4.56 states/eV/f.u.
M_tot   0.0 Bohr magnetons per cell
Uncorrected formation energy   -0.487 eV per atom
Crystal system   orthorhombic

Unit cell a=10.082 b=10.082 c=13.338 alpha=90.00 beta=90.00 gamma=157.02
Atoms (fractional coordinates):
Cs: 0.000 0.000 0.000
Cs: 0.000 0.000 0.500
Cs: 0.141 0.859 0.750
Cs: 0.859 0.141 0.250
Cu: 0.087 0.913 0.250
Cu: 0.216 0.784 0.040
Cu: 0.216 0.784 0.460
Cu: 0.349 0.651 0.658
Cu: 0.349 0.651 0.842
Cu: 0.651 0.349 0.158
Cu: 0.651 0.349 0.342
Cu: 0.784 0.216 0.540
Cu: 0.784 0.216 0.960
Cu: 0.913 0.087 0.750
Se: 0.208 0.792 0.250
Se: 0.342 0.658 0.020
Se: 0.342 0.658 0.480
Se: 0.478 0.522 0.750
Se: 0.522 0.478 0.250
Se: 0.658 0.342 0.520
Se: 0.658 0.342 0.980
Se: 0.792 0.208 0.750

***

# 22
Below is an optimized crystal structure of CsCuSe2, with properties calculated at the GGA-PBE level.

SG   Fm-3m, No. 225
Density of states at the Fermi level   9.71 states/eV/f.u.
M_tot   0.0 Bohr magnetons per cell
Uncorrected formation energy   0.358 eV per atom
Crystal system   cubic

Unit cell a=5.347 b=5.347 c=5.347 alpha=60.00 beta=60.00 gamma=60.00
Atoms (fractional coordinates):
Cs: 0.000 0.000 0.000
Cu: 0.500 0.500 0.500
Se: 0.250 0.250 0.250
Se: 0.750 0.750 0.750

***

# 23
Below is an optimized crystal structure of CsCuSe4, with properties calculated at the GGA-PBE level.

SG   C2/m, No. 12
Density of states at the Fermi level   0.17 states/eV/f.u.
M_tot   0.0 Bohr magnetons per cell
Uncorrected formation energy   -0.339 eV per atom
Crystal system   monoclinic

Unit cell a=11.049 b=11.049 c=6.589 alpha=106.89 beta=106.89 gamma=38.59
Atoms (fractional coordinates):
Cs: 0.131 0.131 0.386
Cs: 0.869 0.869 0.614
Cu: 0.419 0.419 0.280
Cu: 0.581 0.581 0.720
Se: 0.121 0.575 0.069
Se: 0.256 0.256 0.938
Se: 0.304 0.696 0.500
Se: 0.425 0.879 0.931
Se: 0.575 0.121 0.069
Se: 0.696 0.304 0.500
Se: 0.744 0.744 0.062
Se: 0.879 0.425 0.931

***

# 24
Below is an optimized crystal structure of Cs2CuSe2, with properties calculated at the GGA-PBE level.

SG   Cmc2_1, No. 36
Density of states at the Fermi level   3.70 states/eV/f.u.
M_tot   0.0 Bohr magnetons per cell
Uncorrected formation energy   -0.742 eV per atom
Crystal system   orthorhombic

Unit cell a=12.507 b=12.507 c=7.278 alpha=90.00 beta=90.00 gamma=161.28
Atoms (fractional coordinates):
Cs: 0.044 0.956 0.500
Cs: 0.199 0.801 0.225
Cs: 0.801 0.199 0.725
Cs: 0.956 0.044 0.000
Cu: 0.361 0.639 0.341
Cu: 0.639 0.361 0.841
Se: 0.176 0.824 0.723
Se: 0.423 0.577 0.578
Se: 0.577 0.423 0.078
Se: 0.824 0.176 0.223

***

# 25
Below is an optimized crystal structure of CsCuSe2, with properties calculated at the GGA-PBE level.

SG   Cc, No. 9
M_tot   0.0 Bohr magnetons per cell
Uncorrected formation energy   -0.521 eV per atom
Crystal system   monoclinic

Unit cell a=7.073 b=7.073 c=5.933 alpha=107.93 beta=107.93 gamma=91.04
Atoms (fractional coordinates):
Cs: 0.159 0.841 0.500
Cs: 0.841 0.159 0.000
Cu: 0.401 0.600 0.999
Cu: 0.600 0.401 0.499
Se: 0.130 0.403 0.686
Se: 0.403 0.130 0.186
Se: 0.597 0.870 0.314
Se: 0.870 0.597 0.814